# CuNi3N

Crystalline CuNi3N at its relaxed geometry (PBE, Alexandria).

Results
Calculated total energy = -0.43122 Ry per atom
Space-group type = P2

Lattice parameters (Å, degrees): 4.2765 5.2832 4.5873 90.00 90.79 90.00
Closest atoms and distances in Å follow each position.
Fractional positions:
Cu1 0.2466 0.0000 0.1749  1 N 1.98
Cu2 0.7534 0.0000 0.8251  1 N 1.98
Ni1 0.2444 0.7693 0.6663  1 N 1.84
Ni2 0.2466 0.2633 0.6684  2 N 1.86-1.88
Ni3 0.2544 0.5199 0.1691  2 N 1.85-1.88
Ni4 0.7456 0.5199 0.8309  2 N 1.85-1.88
Ni5 0.7534 0.2633 0.3316  2 N 1.86-1.88
Ni6 0.7556 0.7693 0.3337  1 N 1.84
N1 0.0000 0.5199 0.5000  6 Ni 1.84-1.88
N2 0.5000 0.2734 0.0000  4 Ni 1.85-1.86, 2 Cu 1.98

---

# CuNi3N

Crystalline CuNi3N at its relaxed geometry (PBE, Alexandria).

Results
Calculated total energy = -0.42964 Ry per atom
Space-group type = P1

Lattice parameters (Å, degrees): 4.5520 4.5608 5.2607 89.66 74.11 80.98
Closest atoms and distances in Å follow each position.
Fractional positions:
Cu1 0.0000 0.0000 0.0000  1 N 1.97
Cu2 0.4811 0.2570 0.8648  1 N 1.99
Ni1 0.4839 0.2706 0.3768  2 N 1.88-1.98
Ni2 0.4864 0.7697 0.1285  2 N 1.88-1.92
Ni3 0.4890 0.7792 0.6320  1 N 1.83
Ni4 0.9778 0.0284 0.5027  1 N 1.82
Ni5 0.9813 0.5199 0.2653  2 N 1.83-1.89
Ni6 0.9824 0.5142 0.7538  2 N 1.83-1.85
N1 0.2246 0.6674 0.4577  6 Ni 1.82-1.98
N2 0.7458 0.3979 0.0674  4 Ni 1.83-1.88, 2 Cu 1.97-1.99

---

# CuNi3N

Crystalline CuNi3N at its relaxed geometry (PBE, Alexandria).

Results
Calculated total energy = -0.42467 Ry per atom
Space-group type = P2_1/c

Lattice parameters (Å, degrees): 7.1020 4.6263 6.9075 90.00 109.77 90.00
Closest atoms and distances in Å follow each position.
Fractional positions:
Cu1 0.1671 0.0940 0.0224  1 N 2.24, 1 Cu 2.45, 3 Ni 2.46-2.50
Cu2 0.1671 0.4060 0.5224  1 N 2.24, 1 Cu 2.45, 3 Ni 2.46-2.50
Cu3 0.8329 0.5940 0.4776  1 N 2.24, 1 Cu 2.45, 3 Ni 2.46-2.50
Cu4 0.8329 0.9060 0.9776  1 N 2.24, 1 Cu 2.45, 3 Ni 2.46-2.50
Ni1 0.0585 0.5713 0.8500  1 N 1.86
Ni2 0.0585 0.9287 0.3500  1 N 1.86
Ni3 0.2901 0.6280 0.2244  2 N 1.84-1.86
Ni4 0.2901 0.8720 0.7244  2 N 1.84-1.86
Ni5 0.3981 0.1585 0.3796  2 N 1.89-1.91
Ni6 0.3981 0.3415 0.8796  2 N 1.89-1.91
Ni7 0.6019 0.6585 0.1204  2 N 1.89-1.91
Ni8 0.6019 0.8415 0.6204  2 N 1.89-1.91
Ni9 0.7099 0.1280 0.2756  2 N 1.84-1.86
Ni10 0.7099 0.3720 0.7756  2 N 1.84-1.86
Ni11 0.9415 0.0713 0.6500  1 N 1.86
Ni12 0.9415 0.4287 0.1500  1 N 1.86
N1 0.3223 0.6936 0.9722  5 Ni 1.84-1.91
N2 0.3223 0.8064 0.4722  5 Ni 1.84-1.91
N3 0.6777 0.1936 0.5278  5 Ni 1.84-1.91
N4 0.6777 0.3064 0.0278  5 Ni 1.84-1.91

---

# CuNi3N

Crystalline CuNi3N at its relaxed geometry (PBE, Alexandria).

Results
Calculated total energy = -0.38893 Ry per atom
Space-group type = P4mm

Lattice parameters (Å, degrees): 3.6136 3.6136 5.6650 90.00 90.00 90.00
Closest atoms and distances in Å follow each position.
Fractional positions:
Cu1 0.0000 0.0000 0.0000  5 Ni 2.31-2.51
Ni1 0.0000 0.0000 0.5925  1 Cu 2.31, 4 Ni 2.43
Ni2 0.0000 0.5000 0.3065  2 N 1.81
Ni3 0.5000 0.0000 0.3065  2 N 1.81
N1 0.5000 0.5000 0.3064  4 Ni 1.81

---

# CuNi3N

Crystalline CuNi3N at its relaxed geometry (PBE, Alexandria).

Results
Calculated total energy = -0.43830 Ry per atom
Space-group type = Pm-3m

Lattice parameters (Å, degrees): 3.7308 3.7308 3.7308 90.00 90.00 90.00
Closest atoms and distances in Å follow each position.
Fractional positions:
Cu1 0.0000 0.0000 0.0000  12 Ni 2.64
Ni1 0.0000 0.5000 0.5000  2 N 1.87
Ni2 0.5000 0.0000 0.5000  2 N 1.87
Ni3 0.5000 0.5000 0.0000  2 N 1.87
N1 0.5000 0.5000 0.5000  6 Ni 1.87

---

# CuNiN2

Crystalline CuNiN2 at its relaxed geometry (PBE, Alexandria).

Results
Calculated total energy = -0.43973 Ry per atom
Space-group type = R-3m

Lattice parameters (Å, degrees): 5.9718 5.9718 5.9718 27.34 27.34 27.34
Closest atoms and distances in Å follow each position.
Fractional positions:
Cu1 0.0000 0.0000 0.0000  2 N 1.84
Ni1 0.5000 0.5000 0.5000  6 N 1.93
N1 0.1068 0.1068 0.1068  1 Cu 1.84, 3 Ni 1.93
N2 0.8932 0.8932 0.8932  1 Cu 1.84, 3 Ni 1.93

---

# CuNi3N

Crystalline CuNi3N at its relaxed geometry (PBE, Alexandria).

Results
Calculated total energy = -0.40741 Ry per atom
Space-group type = R3m

Lattice parameters (Å, degrees): 4.3570 4.3570 4.3570 111.82 111.82 111.82
Closest atoms and distances in Å follow each position.
Fractional positions:
Cu1 0.0000 0.0000 0.0000  2 N 1.90-1.92
Ni1 0.3765 0.3765 0.8050  1 N 1.79
Ni2 0.3765 0.8050 0.3765  1 N 1.79
Ni3 0.8050 0.3765 0.3765  1 N 1.79
N1 0.4983 0.4983 0.4983  3 Ni 1.79, 2 Cu 1.90-1.92

---

# CuNi3N

Crystalline CuNi3N at its relaxed geometry (PBE, Alexandria).

Results
Calculated total energy = -0.42874 Ry per atom
Space-group type = Pm

Lattice parameters (Å, degrees): 2.5994 3.6565 5.7662 90.00 102.99 90.00
Closest atoms and distances in Å follow each position.
Fractional positions:
Cu1 0.0000 0.0000 0.0000  9 Ni 2.49-2.76, 2 Cu 2.60
Ni1 0.2440 0.0000 0.4920  2 N 1.83
Ni2 0.4032 0.5000 0.8069  1 N 1.82
Ni3 0.6206 0.5000 0.2438  2 N 1.87
N1 0.2400 0.5000 0.4832  5 Ni 1.82-1.87

---

# CuNi3N

Crystalline CuNi3N at its relaxed geometry (PBE, Alexandria).

Results
Calculated total energy = -0.42078 Ry per atom
Space-group type = R-3

Lattice parameters (Å, degrees): 6.7395 6.7395 6.7395 39.74 39.74 39.74
Closest atoms and distances in Å follow each position.
Fractional positions:
Cu1 0.1651 0.1651 0.1651  6 Ni 2.49-2.53, 3 Cu 2.65
Cu2 0.8349 0.8349 0.8349  6 Ni 2.49-2.53, 3 Cu 2.65
Ni1 0.0538 0.7308 0.3926  2 N 1.87-1.90
Ni2 0.2692 0.6074 0.9462  2 N 1.87-1.90
Ni3 0.3926 0.0538 0.7308  2 N 1.87-1.90
Ni4 0.6074 0.9462 0.2692  2 N 1.87-1.90
Ni5 0.7308 0.3926 0.0538  2 N 1.87-1.90
Ni6 0.9462 0.2692 0.6074  2 N 1.87-1.90
N1 0.3363 0.3363 0.3363  6 Ni 1.87-1.90
N2 0.6637 0.6637 0.6637  6 Ni 1.87-1.90

---

# CuNi3N

Crystalline CuNi3N at its relaxed geometry (PBE, Alexandria).

Results
Calculated total energy = -0.42412 Ry per atom
Space-group type = P2_1/m

Lattice parameters (Å, degrees): 3.8653 5.2193 5.3808 90.00 90.16 90.00
Closest atoms and distances in Å follow each position.
Fractional positions:
Cu1 0.2489 0.2500 0.2062  1 N 1.90
Cu2 0.7511 0.7500 0.7938  1 N 1.90
Ni1 0.2485 0.7500 0.1863  2 N 1.94-1.95
Ni2 0.2505 0.5016 0.6274  1 N 1.79
Ni3 0.2505 0.9984 0.6274  1 N 1.79
Ni4 0.7495 0.0016 0.3726  1 N 1.79
Ni5 0.7495 0.4984 0.3726  1 N 1.79
Ni6 0.7515 0.2500 0.8137  2 N 1.94-1.95
N1 0.2518 0.2500 0.8539  4 Ni 1.79-1.95, 1 Cu 1.90
N2 0.7482 0.7500 0.1461  4 Ni 1.79-1.95, 1 Cu 1.90

---

# CuNi3N

Crystalline CuNi3N at its relaxed geometry (PBE, Alexandria).

Results
Calculated total energy = -0.40548 Ry per atom
Space-group type = P6_3/mmc

Lattice parameters (Å, degrees): 3.9867 3.9867 7.3479 90.00 90.00 120.00
Closest atoms and distances in Å follow each position.
Fractional positions:
Cu1 0.3333 0.6667 0.2500  5 Ni 2.30-2.40
Cu2 0.6667 0.3333 0.7500  5 Ni 2.30-2.40
Ni1 0.0000 0.0000 0.2500  2 N 1.84
Ni2 0.0000 0.0000 0.7500  2 N 1.84
Ni3 0.3333 0.6667 0.5772  3 N 2.37, 4 Cu 2.40-2.63, 7 Ni 2.54-2.63
Ni4 0.3333 0.6667 0.9228  3 N 2.37, 4 Cu 2.40-2.63, 7 Ni 2.54-2.63
Ni5 0.6667 0.3333 0.0772  3 N 2.37, 4 Cu 2.40-2.63, 7 Ni 2.54-2.63
Ni6 0.6667 0.3333 0.4228  3 N 2.37, 4 Cu 2.40-2.63, 7 Ni 2.54-2.63
N1 0.0000 0.0000 0.0000  2 Ni 1.84
N2 0.0000 0.0000 0.5000  2 Ni 1.84

---

# CuNi3N

Crystalline CuNi3N at its relaxed geometry (PBE, Alexandria).

Results
Calculated total energy = -0.28285 Ry per atom
Space-group type = Pm-3m

Lattice parameters (Å, degrees): 4.2765 4.2765 4.2765 90.00 90.00 90.00
Closest atoms and distances in Å follow each position.
Fractional positions:
Cu1 0.0000 0.0000 0.0000  6 Ni 2.14
Ni1 0.0000 0.0000 0.5000  2 Cu 2.14
Ni2 0.0000 0.5000 0.0000  2 Cu 2.14
Ni3 0.5000 0.0000 0.0000  2 Cu 2.14
N1 0.5000 0.5000 0.5000  12 Ni 3.02

---

Number 1: formation energy (no corrections) 0.09 eV per atom, distance to the lowest polymorph of the same formula 96.3 meV/atom. Number 2: formation energy (no corrections) 0.11 eV per atom, distance to the lowest polymorph of the same formula 117.8 meV/atom. Number 3: formation energy (no corrections) 0.18 eV per atom, distance to the lowest polymorph of the same formula 185.4 meV/atom. Number 4: formation energy (no corrections) 0.66 eV per atom, distance to the lowest polymorph of the same formula 671.7 meV/atom. Number 5: formation energy (no corrections) -0.01 eV per atom, distance to the lowest polymorph of the same formula 0.0 meV/atom. Number 6: formation energy (no corrections) 0.65 eV per atom, distance to the lowest polymorph of the same formula 0.0 meV/atom. Number 7: formation energy (no corrections) 0.41 eV per atom, distance to the lowest polymorph of the same formula 420.3 meV/atom. Number 8: formation energy (no corrections) 0.12 eV per atom, distance to the lowest polymorph of the same formula 130.1 meV/atom. Number 9: formation energy (no corrections) 0.23 eV per atom, distance to the lowest polymorph of the same formula 238.3 meV/atom. Number 10: formation energy (no corrections) 0.18 eV per atom, distance to the lowest polymorph of the same formula 193.0 meV/atom. Number 11: formation energy (no corrections) 0.44 eV per atom, distance to the lowest polymorph of the same formula 446.5 meV/atom. Number 12: formation energy (no corrections) 2.10 eV per atom, distance to the lowest polymorph of the same formula 2115.0 meV/atom.